(1)
MgCd after structural relaxation. Source: Alexandria via LeMat-Bulk, functional PBE-GGA. Values from VASP.

Cell and atoms, written as Quantum ESPRESSO input:
```
&SYSTEM
  ibrav = 0, nat = 16, ntyp = 2
/
ATOMIC_SPECIES
Mg 24.30 Mg.upf
Cd 112.41 Cd.upf
CELL_PARAMETERS angstrom
-9.891 -4.400 1.296
3.801 -9.587 -3.540
0.763 -0.820 3.040
ATOMIC_POSITIONS angstrom
Mg -2.748 -2.968 1.616
Mg -7.134 -7.769 1.421
Mg 0.084 -4.435 -1.218
Mg 1.806 -7.037 -0.625
Mg -0.669 -9.953 -2.517
Mg -6.175 -9.551 -1.026
Mg -5.421 -4.034 0.273
Mg -2.579 -11.839 -0.820
Cd -7.513 -4.940 2.279
Cd -1.048 -7.124 -1.658
Cd -5.043 -6.863 -0.585
Cd 2.185 -9.866 -1.483
Cd 0.123 -2.410 1.045
Cd -2.787 -4.993 -0.647
Cd -5.451 -12.396 -0.249
Cd -3.304 -8.994 -1.597
```

Values from the calculation:
crystal system = tetragonal


(2)
Mg3Cd4 after structural relaxation. Source: Alexandria via LeMat-Bulk, functional PBE-GGA. Values from VASP.

Cell and atoms, written as Quantum ESPRESSO input:
```
&SYSTEM
  ibrav = 0, nat = 7, ntyp = 2
/
ATOMIC_SPECIES
Mg 24.30 Mg.upf
Cd 112.41 Cd.upf
CELL_PARAMETERS angstrom
10.980 0.011 0.000
9.646 5.246 0.000
-10.313 -2.629 2.701
ATOMIC_POSITIONS angstrom
Mg 5.941 1.514 0.000
Mg 0.000 0.000 0.000
Mg 14.685 3.743 0.000
Cd 8.852 2.256 0.000
Cd 11.774 3.001 0.000
Cd 17.651 4.499 0.000
Cd 2.975 0.758 0.000
```

Values from the calculation:
offset from the most stable computed form = 26 meV/atom
crystal system = tetragonal


(3)
Mg8Cd after structural relaxation. Source: Alexandria via LeMat-Bulk, functional PBE-GGA. Values from VASP.

Cell and atoms, written as Quantum ESPRESSO input:
```
&SYSTEM
  ibrav = 0, nat = 9, ntyp = 2
/
ATOMIC_SPECIES
Cd 112.41 Cd.upf
Mg 24.30 Mg.upf
CELL_PARAMETERS angstrom
-6.354 -3.115 1.081
2.615 -5.656 3.524
-3.477 -5.291 7.265
ATOMIC_POSITIONS angstrom
Cd 0.000 0.000 0.000
Mg -2.701 -8.324 7.537
Mg -5.662 -7.485 6.731
Mg -1.155 -1.758 2.414
Mg -1.553 -6.577 5.139
Mg -4.514 -5.738 4.332
Mg -0.366 -4.812 2.712
Mg -3.373 -3.960 1.893
Mg -2.322 -3.532 4.851
```

Values from the calculation:
crystal system = tetragonal


(4)
Mg4Cd after structural relaxation. Source: Alexandria via LeMat-Bulk, functional PBE-GGA. Values from VASP.

Cell and atoms, written as Quantum ESPRESSO input:
```
&SYSTEM
  ibrav = 0, nat = 5, ntyp = 2
/
ATOMIC_SPECIES
Mg 24.30 Mg.upf
Cd 112.41 Cd.upf
CELL_PARAMETERS angstrom
5.268 0.000 0.000
0.000 5.268 0.000
0.000 0.000 5.268
ATOMIC_POSITIONS angstrom
Mg 2.634 2.634 0.000
Mg 0.000 2.634 2.634
Mg 2.634 0.000 2.634
Mg 0.000 0.000 0.000
Cd 2.634 2.634 2.634
```

Values from the calculation:
offset from the most stable computed form = 369 meV/atom
crystal system = cubic


(5)
Mg4Cd after structural relaxation. Source: Alexandria via LeMat-Bulk, functional PBE-GGA. Values from VASP.

Cell and atoms, written as Quantum ESPRESSO input:
```
&SYSTEM
  ibrav = 0, nat = 5, ntyp = 2
/
ATOMIC_SPECIES
Cd 112.41 Cd.upf
Mg 24.30 Mg.upf
CELL_PARAMETERS angstrom
3.187 0.192 -0.106
-0.278 4.155 -1.103
2.020 0.098 8.376
ATOMIC_POSITIONS angstrom
Cd 0.000 0.000 0.000
Mg 3.396 1.863 6.230
Mg 3.309 1.024 3.046
Mg 1.531 2.582 0.938
Mg 1.619 3.421 4.122
```

Values from the calculation:
offset from the most stable computed form = 10 meV/atom
crystal system = triclinic


(6)
Mg5Cd after structural relaxation. Source: Alexandria via LeMat-Bulk, functional PBE-GGA. Values from VASP.

Cell and atoms, written as Quantum ESPRESSO input:
```
&SYSTEM
  ibrav = 0, nat = 6, ntyp = 2
/
ATOMIC_SPECIES
Mg 24.30 Mg.upf
Cd 112.41 Cd.upf
CELL_PARAMETERS angstrom
-1.314 4.334 -4.272
-3.914 4.146 -2.500
7.007 -2.155 10.054
ATOMIC_POSITIONS angstrom
Mg 0.400 2.933 0.899
Mg 4.480 -0.581 6.513
Mg 2.929 1.396 4.446
Mg -1.170 4.924 -1.194
Mg -3.661 6.447 -4.689
Cd 0.006 0.000 0.009
```

Values from the calculation:
crystal system = monoclinic


(7)
Mg2Cd after structural relaxation. Source: Alexandria via LeMat-Bulk, functional PBE-GGA. Values from VASP.

Cell and atoms, written as Quantum ESPRESSO input:
```
&SYSTEM
  ibrav = 0, nat = 6, ntyp = 2
/
ATOMIC_SPECIES
Cd 112.41 Cd.upf
Mg 24.30 Mg.upf
CELL_PARAMETERS angstrom
-1.582 1.582 13.844
1.582 -1.582 13.844
1.582 1.582 -13.844
ATOMIC_POSITIONS angstrom
Cd 0.000 0.000 0.000
Cd 0.000 1.582 6.922
Mg 1.582 0.000 4.787
Mg 0.000 0.000 15.979
Mg 1.582 0.000 9.057
Mg 0.000 0.000 11.709
```

Values from the calculation:
crystal system = tetragonal


(8)
MgCd after structural relaxation. Source: Alexandria via LeMat-Bulk, functional PBE-GGA. Values from VASP.

Cell and atoms, written as Quantum ESPRESSO input:
```
&SYSTEM
  ibrav = 0, nat = 6, ntyp = 2
/
ATOMIC_SPECIES
Mg 24.30 Mg.upf
Cd 112.41 Cd.upf
CELL_PARAMETERS angstrom
5.290 -0.140 -0.110
2.723 4.538 -0.110
2.568 1.409 5.304
ATOMIC_POSITIONS angstrom
Mg 6.249 4.440 -0.155
Mg 3.480 2.920 5.240
Mg 5.283 2.918 2.542
Cd 7.961 4.385 2.425
Cd 2.606 1.446 2.659
Cd 3.595 2.948 -0.110
```

Values from the calculation:
crystal system = monoclinic


Looking at E for the records above, in order, we have -1.2234 -1.2640 -1.5450 -1.1354 -1.4945 -1.5233 -1.3672 -1.3364 eV per atom.
Looking at D(E_F) for the records above, in order, we have 5.42 2.15 3.63 3.08 1.58 1.26 2.60 1.67 states/eV/cell.